[1]
{
  "formula": "KAlSi",
  "functional": "PBE",
  "state": "optimized geometry",
  "magmom_total_mub_per_fu": 0.000,
  "dos_at_fermi_per_ev_atom": 0.159,
  "final_energy_ev_per_atom": -3.37,
  "lattice": [[17.735, 0.000, 0.000], [0.000, 4.164, 0.000], [8.868, 2.082, 3.811]],
  "species": ["K", "K", "K", "Si", "Si", "Si", "Al", "Al", "Al"],
  "frac_coords": [[0.813, 0.509, 0.982], [0.205, 0.509, 0.982], [0.036, 0.036, 0.929], [0.711, 0.211, 0.578], [0.468, 0.337, 0.326], [0.206, 0.337, 0.326], [0.501, 0.501, 0.998], [0.608, 0.999, 0.002], [0.390, 0.999, 0.002]]
}

=====

[2]
{
  "formula": "KAlSi",
  "functional": "PBE",
  "state": "optimized geometry",
  "magmom_total_mub_per_fu": 0.000,
  "dos_at_fermi_per_ev_atom": 0.647,
  "final_energy_ev_per_atom": -3.26,
  "lattice": [[-8.699, -2.568, 1.584], [-4.705, -1.481, -4.391], [5.479, -1.903, 3.156]],
  "species": ["K", "K", "Si", "Si", "Al", "Al"],
  "frac_coords": [[0.328, 0.752, 0.248], [0.077, 0.127, 0.873], [0.679, 0.756, 0.244], [0.502, 0.411, 0.589], [0.700, 0.940, 0.060], [0.861, 0.497, 0.503]]
}

=====

[3]
{
  "formula": "KAlSi",
  "functional": "PBE",
  "state": "optimized geometry",
  "magmom_total_mub_per_fu": 0.000,
  "dos_at_fermi_per_ev_atom": 0.161,
  "final_energy_ev_per_atom": -3.41,
  "lattice": [[-3.931, 1.678, -6.038], [1.820, -3.223, -2.081], [-4.036, -3.371, 1.691]],
  "species": ["K", "K", "Si", "Si", "Al", "Al"],
  "frac_coords": [[0.500, 0.500, 0.500], [0.000, 0.000, 0.500], [0.159, 0.500, 0.000], [0.841, 0.500, 0.000], [0.675, 0.000, 0.000], [0.325, 0.000, 0.000]]
}

=====

[4]
{
  "formula": "KAl2Si",
  "functional": "PBE",
  "state": "optimized geometry",
  "magmom_total_mub_per_fu": 0.000,
  "dos_at_fermi_per_ev_atom": 0.589,
  "final_energy_ev_per_atom": -3.10,
  "lattice": [[-3.851, -2.749, 3.289], [4.047, -1.569, 3.790], [-2.432, 4.903, -1.801]],
  "species": ["K", "Si", "Al", "Al"],
  "frac_coords": [[0.490, 0.490, 0.000], [0.161, 0.661, 0.500], [0.019, 0.019, 0.000], [0.829, 0.329, 0.500]]
}

=====

[5]
{
  "formula": "KAlSi",
  "functional": "PBE",
  "state": "optimized geometry",
  "magmom_total_mub_per_fu": 0.000,
  "dos_at_fermi_per_ev_atom": 0.000,
  "final_energy_ev_per_atom": -3.35,
  "lattice": [[-1.751, -3.201, -2.143], [0.141, -3.950, 5.785], [-5.651, 0.326, 4.130]],
  "species": ["K", "K", "Si", "Si", "Al", "Al"],
  "frac_coords": [[0.500, 0.343, 0.657], [0.500, 0.843, 0.157], [0.262, 0.922, 0.578], [0.738, 0.422, 0.078], [0.768, 0.757, 0.743], [0.232, 0.257, 0.243]]
}

=====

[6]
{
  "formula": "K2AlSi",
  "functional": "PBE",
  "state": "optimized geometry",
  "magmom_total_mub_per_fu": 0.000,
  "dos_at_fermi_per_ev_atom": 0.404,
  "final_energy_ev_per_atom": -2.31,
  "lattice": [[5.513, 0.000, 0.000], [0.000, 3.480, 0.006], [0.000, 3.443, 5.918]],
  "species": ["K", "K", "Si", "Al"],
  "frac_coords": [[0.000, 0.000, 0.007], [0.000, 0.500, 0.493], [0.500, 0.250, 0.250], [0.500, 0.750, 0.750]]
}

=====

[7]
{
  "formula": "KAl4Si",
  "functional": "PBE",
  "state": "optimized geometry",
  "magmom_total_mub_per_fu": 0.000,
  "dos_at_fermi_per_ev_atom": 0.610,
  "final_energy_ev_per_atom": -3.19,
  "lattice": [[5.579, -0.697, 0.292], [2.891, 2.202, 4.300], [2.214, -3.374, 3.925]],
  "species": ["K", "Al", "Al", "Al", "Al", "Si"],
  "frac_coords": [[0.750, 0.750, 0.750], [0.875, 0.375, 0.375], [0.375, 0.375, 0.875], [0.375, 0.875, 0.375], [0.375, 0.375, 0.375], [0.000, 0.000, 0.000]]
}

=====

[8]
{
  "formula": "KAlSi",
  "functional": "PBE",
  "state": "optimized geometry",
  "magmom_total_mub_per_fu": 0.000,
  "dos_at_fermi_per_ev_atom": 0.282,
  "final_energy_ev_per_atom": -3.27,
  "lattice": [[14.051, 0.000, -0.049], [6.178, 1.881, -2.980], [-6.178, 1.881, 2.980]],
  "species": ["K", "K", "Si", "Si", "Al", "Al"],
  "frac_coords": [[0.457, 0.411, 0.589], [0.986, 0.453, 0.547], [0.557, 0.027, 0.973], [0.666, 0.542, 0.458], [0.266, 0.872, 0.128], [0.953, 0.737, 0.263]]
}

=====

Calculated formation energy without anion corrections in order - 51.6 157.2 6.1 403.0 68.1 525.7 392.0 146.2 meV per atom